Ti3InH GGA-PBE optimized geometry; total moment = 0.00 μB per formula unit; DFT total energy = -6.20 eV/atom; space group = C222_1, No. 20
1.0
3.1291 -4.9121 0.0000
3.1291 4.9121 0.0000
0.0000 0.0000 4.8154
Ti In H
6 2 2
Cartesian
3.1291 3.5278 3.6115
1.7139 0.9099 3.6096
1.7139 -0.9099 1.2057
4.5444 0.9099 3.6134
4.5444 -0.9099 1.2020
3.1291 -3.5278 1.2038
3.1291 1.6907 1.2038
3.1291 -1.6907 3.6115
0.5681 0.0000 0.0000
5.6902 0.0000 2.4077

Ti4In2H GGA-PBE optimized geometry; total moment = 0.00 μB per formula unit; ΔE to the lowest computed polymorph = 226.4 meV/atom; DFT total energy = -5.64 eV/atom; space group = Cmmm, No. 65
1.0
2.4812 -9.4070 0.0000
2.4812 9.4070 0.0000
0.0000 0.0000 2.8778
Ti In H
4 2 1
Cartesian
2.4812 7.9772 0.0000
2.4812 5.6959 1.4389
2.4812 -5.6959 1.4389
2.4812 -7.9772 0.0000
2.4812 2.9543 0.0000
2.4812 -2.9543 0.0000
0.0000 0.0000 1.4389

Ti3InH GGA-PBE optimized geometry; total moment = 0.00 μB per formula unit; DFT total energy = -5.10 eV/atom; space group = I-4m2, No. 119
1.0
-2.2716 2.2716 10.7548
2.2716 -2.2716 10.7548
2.2716 2.2716 -10.7548
Ti In H
6 2 2
Cartesian
0.0000 0.0000 3.9217
1.1226 2.2716 -2.7278
1.1490 0.0000 8.0270
2.2716 1.1226 2.7278
0.0000 0.0000 17.5879
0.0000 1.1490 13.4826
2.2716 0.0000 5.3774
0.0000 0.0000 10.7548
0.0000 2.2716 3.1370
0.0000 2.2716 7.6178

Ti3InH GGA-PBE optimized geometry; total moment = 0.00 μB per formula unit; DFT total energy = -6.13 eV/atom; space group = P2_1/c, No. 14
1.0
7.7110 0.0000 0.0000
0.0000 5.3436 0.0000
-1.1150 0.0000 7.2076
Ti In H
12 4 4
Cartesian
0.1726 0.6782 1.3651
-0.3849 1.9936 4.9689
1.4266 3.2283 0.5100
0.8691 4.7872 4.1138
2.4463 3.2219 5.9082
3.0037 4.7936 2.3044
3.5923 0.5501 4.9032
4.1498 2.1218 1.2994
5.7269 0.5565 3.0938
5.1694 2.1153 6.6976
6.9809 3.3500 2.2388
6.4234 4.6655 5.8426
1.3272 0.5491 6.7849
1.8847 2.1227 3.1810
4.7113 3.2209 4.0266
5.2688 4.7945 0.4228
0.4338 3.5500 5.7154
0.9913 4.4654 2.1116
5.6047 0.8782 5.0960
6.1622 1.7936 1.4922